[1]
An optimized crystal structure of MnWCl2. Source: Alexandria, functional GGA-PBE.

Cell: 9.2887 9.2887 9.2887 Å, 19.40 19.40 19.40°
Last column: nearest neighbours and their distance in Å.
Element x y z (fractional)
W: 0.7550 0.7550 0.7550  3 Cl 2.51, 3 Mn 2.74
Cl: 0.2234 0.2234 0.2234  3 Mn 2.44
Cl: 0.0247 0.0247 0.0247  3 W 2.51
Mn: 0.4970 0.4970 0.4970  3 Cl 2.44

- Formation energy (no corrections): -0.188 eV/atom
- M_tot: 3.9 Bohr magnetons per cell

[2]
An optimized crystal structure of MnWCl2. Source: Alexandria, functional GGA-PBE.

Cell: 7.6466 7.6466 7.6466 Å, 157.35 146.36 40.94°
Last column: nearest neighbours and their distance in Å.
Element x y z (fractional)
Mn: 0.7500 0.2500 0.5000  4 W 2.67, 4 Cl 2.98
W: 0.2500 0.7500 0.5000  4 Cl 2.49, 4 Mn 2.67
Cl: 0.1111 0.1111 0.0000  2 W 2.49
Cl: 0.3889 0.3889 0.0000  2 W 2.49

- Formation energy (no corrections): 0.074 eV/atom
- M_tot: 2.8 Bohr magnetons per cell

[3]
An optimized crystal structure of MnWCl2. Source: Alexandria, functional GGA-PBE.

Cell: 9.7999 9.7999 9.7999 Å, 17.91 17.91 17.91°
Last column: nearest neighbours and their distance in Å.
Element x y z (fractional)
Cl: 0.0215 0.0215 0.0215  3 W 2.51
Mn: 0.2500 0.2500 0.2500  6 Mn 3.05
Cl: 0.4785 0.4785 0.4785  3 W 2.51
W: 0.7500 0.7500 0.7500  6 Cl 2.51

- Formation energy (no corrections): 0.422 eV/atom
- M_tot: 4.4 Bohr magnetons per cell

[4]
An optimized crystal structure of Mn3WCl. Source: Alexandria, functional GGA-PBE.

Cell: 4.1712 4.1712 4.1712 Å, 90.00 90.00 90.00°
Last column: nearest neighbours and their distance in Å.
Element x y z (fractional)
Mn: 0.5000 0.0000 0.0000  2 Cl 2.09
W: 0.5000 0.5000 0.5000  12 Mn 2.95
Mn: 0.0000 0.5000 0.0000  2 Cl 2.09
Mn: 0.0000 0.0000 0.5000  2 Cl 2.09
Cl: 0.0000 0.0000 0.0000  6 Mn 2.09

- Formation energy (no corrections): 1.054 eV/atom
- M_tot: 5.4 Bohr magnetons per cell

[5]
An optimized crystal structure of MnWCl2. Source: Alexandria, functional GGA-PBE.

Cell: 4.2013 2.9351 5.6638 Å, 100.02 90.00 90.00°
Last column: nearest neighbours and their distance in Å.
Element x y z (fractional)
Cl: 0.0000 0.8678 0.9955  2 W 2.51, 2 Mn 2.68, 1 Cl 2.75
Cl: 0.0000 0.6322 0.5045  2 W 2.51, 2 Mn 2.68, 1 Cl 2.75
W: 0.5000 0.7500 0.7500  4 Cl 2.51
Mn: 0.5000 0.2500 0.2500  4 Cl 2.68, 2 Mn 2.94, 2 W 2.95

- Formation energy (no corrections): 0.439 eV/atom
- M_tot: 4.5 Bohr magnetons per cell

[6]
An optimized crystal structure of MnWCl2. Source: Alexandria, functional GGA-PBE.

Cell: 2.8556 5.6505 4.2313 Å, 90.00 90.00 90.00°
Last column: nearest neighbours and their distance in Å.
Element x y z (fractional)
Cl: 0.0000 0.0000 0.0000  4 Mn 2.55, 2 Cl 2.86
W: 0.0000 0.5000 0.5000  4 Cl 2.55, 2 W 2.86
Mn: 0.5000 0.0000 0.5000  4 Cl 2.55, 2 Mn 2.86
Cl: 0.5000 0.5000 0.0000  4 W 2.55, 2 Cl 2.86

- Formation energy (no corrections): 0.633 eV/atom
- M_tot: 4.2 Bohr magnetons per cell

[7]
An optimized crystal structure of MnWCl2. Source: Alexandria, functional GGA-PBE.

Cell: 9.6113 9.6113 9.6113 Å, 18.22 18.22 18.22°
Last column: nearest neighbours and their distance in Å.
Element x y z (fractional)
W: 0.5000 0.5000 0.5000  6 Cl 2.51
Cl: 0.1032 0.1032 0.1032  3 W 2.51
Mn: 0.0000 0.0000 0.0000  2 Cl 2.93, 6 Mn 3.04
Cl: 0.8968 0.8968 0.8968  3 W 2.51

- Formation energy (no corrections): 0.390 eV/atom
- M_tot: 4.5 Bohr magnetons per cell

[8]
An optimized crystal structure of MnWCl2. Source: Alexandria, functional GGA-PBE.

Cell: 5.3811 5.3811 2.9991 Å, 68.99 68.99 104.35°
Last column: nearest neighbours and their distance in Å.
Element x y z (fractional)
Cl: 0.5000 0.5000 0.0000  2 Mn 2.57, 2 W 2.57
Mn: 0.5000 0.0000 0.5000  4 Cl 2.57
Cl: 0.0000 0.0000 0.0000  2 W 2.57, 2 Mn 2.57
W: 0.0000 0.5000 0.5000  4 Cl 2.57

- Formation energy (no corrections): 0.584 eV/atom
- M_tot: 2.7 Bohr magnetons per cell

[9]
An optimized crystal structure of MnW2Cl8. Source: Alexandria, functional GGA-PBE.

Cell: 6.6987 7.2458 7.2458 Å, 70.48 83.36 83.36°
Last column: nearest neighbours and their distance in Å.
Element x y z (fractional)
W: 0.6220 0.9069 0.9069  4 Cl 2.30-2.43, 1 W 2.55
Cl: 0.6978 0.7041 0.7041  1 W 2.38
W: 0.3780 0.0931 0.0931  4 Cl 2.30-2.43, 1 W 2.55
Cl: 0.1961 0.3045 0.8464  1 W 2.30, 1 Mn 2.55
Cl: 0.3022 0.2959 0.2959  1 W 2.38
Cl: 0.2908 0.8462 0.8462  1 W 2.43, 1 Mn 2.47
Mn: 0.0000 0.0000 0.0000  6 Cl 2.47-2.55
Cl: 0.8039 0.1536 0.6955  1 W 2.30, 1 Mn 2.55
Cl: 0.8039 0.6955 0.1536  1 W 2.30, 1 Mn 2.55
Cl: 0.7092 0.1538 0.1538  1 W 2.43, 1 Mn 2.47
Cl: 0.1961 0.8464 0.3045  1 W 2.30, 1 Mn 2.55

- Formation energy (no corrections): -0.564 eV/atom
- M_tot: 5.0 Bohr magnetons per cell

[10]
An optimized crystal structure of MnWCl2. Source: Alexandria, functional GGA-PBE.

Cell: 5.3142 5.3142 6.1625 Å, 64.46 64.46 90.00°
Last column: nearest neighbours and their distance in Å.
Element x y z (fractional)
Cl: 0.3750 0.4030 0.7500  2 Mn 2.16, 2 W 2.33
W: 0.7500 0.2500 0.5000  4 Cl 2.33
Mn: 0.2500 0.7500 0.5000  4 Cl 2.16
Cl: 0.5970 0.1250 0.2500  2 Mn 2.16, 2 W 2.33
Cl: 0.1530 0.6250 0.2500  2 Mn 2.16, 2 W 2.33
Mn: 0.5000 0.5000 0.0000  4 Cl 2.16
Cl: 0.8750 0.8470 0.7500  2 Mn 2.16, 2 W 2.33
W: 0.0000 0.0000 0.0000  4 Cl 2.33

- Formation energy (no corrections): 1.055 eV/atom
- M_tot: 0.0 Bohr magnetons per cell

[11]
An optimized crystal structure of MnWCl2. Source: Alexandria, functional GGA-PBE.

Cell: 4.5789 4.5789 2.9817 Å, 90.00 90.00 90.00°
Last column: nearest neighbours and their distance in Å.
Element x y z (fractional)
Cl: 0.0000 0.0000 0.0000  4 W 2.73, 4 Mn 2.73, 2 Cl 2.98
Cl: 0.5000 0.5000 0.0000  4 Mn 2.73, 4 W 2.73, 2 Cl 2.98
Mn: 0.5000 0.0000 0.5000  8 Cl 2.73, 2 Mn 2.98
W: 0.0000 0.5000 0.5000  8 Cl 2.73, 2 W 2.98

- Formation energy (no corrections): 0.920 eV/atom
- M_tot: 4.0 Bohr magnetons per cell

[12]
An optimized crystal structure of MnWCl2. Source: Alexandria, functional GGA-PBE.

Cell: 4.7112 4.7112 2.9334 Å, 90.00 90.00 101.46°
Last column: nearest neighbours and their distance in Å.
Element x y z (fractional)
Cl: 0.5000 0.5000 0.0000  4 Mn 2.77, 4 W 2.77, 4 Cl 2.93-2.98
Mn: 0.5000 0.0000 0.5000  8 Cl 2.77, 2 Mn 2.93, 2 W 2.98
Cl: 0.0000 0.0000 0.0000  4 W 2.77, 4 Mn 2.77, 4 Cl 2.93-2.98
W: 0.0000 0.5000 0.5000  8 Cl 2.77, 2 W 2.93, 2 Mn 2.98

- Formation energy (no corrections): 0.903 eV/atom
- M_tot: 4.1 Bohr magnetons per cell